# UTcB

An optimized crystal structure of UTcB (PBE-GGA, Alexandria via LeMat-Bulk).

The value obtained for the energy of formation from the pure elements is -0.2 eV/f.u. Its crystal system is tetragonal. As for the density of states at the Fermi level: 1.5417 states/eV per atom. The calculation puts the calculated density at 13.19 Mg/m³. For the total magnetization, the calculation gives 1.706 μB per cell. Its relative energy among the computed polymorphs is 38 meV/atom. The space-group type is No. 107.

a = 3.031 Å, b = 3.031 Å, c = 5.214 Å
α = 106.90°, β = 106.90°, γ = 90.00°
Each line ends with the local moment (μB).
Positions (direct):
B 0.656 0.656 0.312  -0.02
U 0.960 0.960 0.921  1.70
Tc 0.233 0.233 0.467  -0.07

***

# UTc3B

An optimized crystal structure of UTc3B (PBE-GGA, Alexandria via LeMat-Bulk).

The value obtained for the energy of formation from the pure elements is 0.2 eV/f.u. Its crystal system is orthorhombic. As for the density of states at the Fermi level: 1.1096 states/eV per atom. The calculation puts the calculated density at 11.86 Mg/m³. For the total magnetization, the calculation gives 0.000 μB per cell. Its relative energy among the computed polymorphs is 305 meV/atom. The space-group type is No. 38.

a = 4.001 Å, b = 4.266 Å, c = 4.937 Å
α = 115.60°, β = 90.00°, γ = 90.00°
Positions (direct):
U 0.500 0.040 0.081
Tc 0.000 0.542 0.084
Tc 0.000 0.251 0.502
Tc 0.500 0.770 0.540
B 0.500 0.357 0.714

***

# UTcB3

An optimized crystal structure of UTcB3 (PBE-GGA, Alexandria via LeMat-Bulk).

The value obtained for the energy of formation from the pure elements is -2.0 eV/f.u. Its crystal system is orthorhombic. As for the density of states at the Fermi level: 0.6981 states/eV per atom. The calculation puts the calculated density at 11.37 Mg/m³. For the total magnetization, the calculation gives 1.210 μB per cell. The space-group type is No. 63.

a = 3.870 Å, b = 3.056 Å, c = 9.301 Å
α = 90.00°, β = 102.01°, γ = 90.00°
Each line ends with the local moment (μB).
Positions (direct):
U 0.930 0.750 0.861  0.65
U 0.070 0.250 0.139  0.65
Tc 0.201 0.750 0.402  -0.03
Tc 0.799 0.250 0.598  -0.03
B 0.627 0.750 0.253  -0.01
B 0.373 0.250 0.747  -0.01
B 0.526 0.750 0.051  -0.02
B 0.474 0.250 0.949  -0.02
B 0.677 0.250 0.354  0.00
B 0.323 0.750 0.646  0.00

***

# UTc2B

An optimized crystal structure of UTc2B (PBE-GGA, Alexandria via LeMat-Bulk).

The value obtained for the energy of formation from the pure elements is 0.5 eV/f.u. Its crystal system is tetragonal. As for the density of states at the Fermi level: 1.3950 states/eV per atom. The calculation puts the calculated density at 12.97 Mg/m³. For the total magnetization, the calculation gives 0.868 μB per cell. Its relative energy among the computed polymorphs is 333 meV/atom. The space-group type is No. 123.

a = 2.747 Å, b = 2.747 Å, c = 7.551 Å
α = 90.00°, β = 90.00°, γ = 90.00°
Each line ends with the local moment (μB).
Positions (direct):
B 0.500 0.500 0.000  0.00
U 0.500 0.500 0.500  0.82
Tc 0.000 0.000 0.833  0.00
Tc 0.000 0.000 0.167  0.00